Entry 1:
Entry from the Alexandria database: crystalline Cs2Pt3O8 at its relaxed geometry (PBE).

Structure (CIF):
```
data_Cs2Pt3O8
_space_group_name_H-M_alt 'C 1 2/m 1'
_space_group_IT_number 12
_cell_length_a 14.296
_cell_length_b 6.361
_cell_length_c 5.412
_cell_angle_alpha 90.00
_cell_angle_beta 108.14
_cell_angle_gamma 90.00
loop_
_space_group_symop_operation_xyz
'x,y,z'
'-x,-y,-z'
'-x,y,-z'
'x,-y,z'
'x+1/2,y+1/2,z'
'-x+1/2,-y+1/2,-z'
'-x+1/2,y+1/2,-z'
'x+1/2,-y+1/2,z'
loop_
_atom_site_label
_atom_site_type_symbol
_atom_site_fract_x
_atom_site_fract_y
_atom_site_fract_z
Cs1 Cs 0.226 0.000 0.186
Pt1 Pt 0.000 0.245 0.500
Pt2 Pt 0.000 0.500 0.000
O1 O 0.074 0.500 0.396
O2 O 0.076 0.280 0.878
O3 O 0.080 0.000 0.451
```

Properties
- Mass density: 6.95 g/cm3
- DFT total energy: -5.3475 eV/atom


Entry 2:
Entry from the Alexandria database: crystalline GdZrZnCd at its relaxed geometry (PBE).

Structure (CIF):
```
data_GdZrZnCd
_space_group_name_H-M_alt 'F -4 3 m'
_space_group_IT_number 216
_space_group_name_Hall 'F -4 2 3'
_cell_length_a 7.141
_cell_length_b 7.141
_cell_length_c 7.141
_cell_angle_alpha 90.00
_cell_angle_beta 90.00
_cell_angle_gamma 90.00
loop_
_atom_site_label
_atom_site_type_symbol
_atom_site_fract_x
_atom_site_fract_y
_atom_site_fract_z
Gd1 Gd 0.000 0.000 0.000
Zr1 Zr 0.000 0.000 0.500
Zn1 Zn 0.250 0.250 0.250
Cd1 Cd 0.250 0.250 0.750
```

Properties
- Mass density: 7.78 g/cm3
- Energy relative to the elements: -0.1510 eV/atom


Entry 3:
Entry from the Alexandria database: crystalline Rb4TbY3Se8 at its relaxed geometry (PBE).

Structure (CIF):
```
data_Rb4TbY3Se8
_space_group_name_H-M_alt 'R -3 m'
_space_group_IT_number 166
_space_group_name_Hall '-R 3 2"'
_cell_length_a 8.4970
_cell_length_b 8.4970
_cell_length_c 23.9817
_cell_angle_alpha 90.00
_cell_angle_beta 90.00
_cell_angle_gamma 120.00
loop_
_atom_site_label
_atom_site_type_symbol
_atom_site_fract_x
_atom_site_fract_y
_atom_site_fract_z
Rb1 Rb 0.0000 0.0000 0.0000
Rb2 Rb 0.0000 0.5000 0.0000
Tb1 Tb 0.0000 0.0000 0.5000
Y1 Y 0.0000 0.5000 0.5000
Se1 Se 0.0000 0.0000 0.2320
Se2 Se 0.0005 0.5003 0.7680
```

Properties
- Mass density: 4.65 g/cm3
- DFT total energy: -5.2326 eV/atom


Entry 4:
Entry from the Alexandria database: crystalline Si4Sn2Ge at its relaxed geometry (PBE).

Structure (CIF):
```
data_Si4Sn2Ge
_space_group_name_H-M_alt 'I 4/m m m'
_space_group_IT_number 139
_space_group_name_Hall '-I 4 2'
_cell_length_a 4.882
_cell_length_b 4.882
_cell_length_c 13.708
_cell_angle_alpha 90.00
_cell_angle_beta 90.00
_cell_angle_gamma 90.00
loop_
_atom_site_label
_atom_site_type_symbol
_atom_site_fract_x
_atom_site_fract_y
_atom_site_fract_z
Si1 Si 0.000 0.000 0.185
Si2 Si 0.000 0.500 0.000
Sn1 Sn 0.000 0.000 0.379
Ge1 Ge 0.000 0.000 0.000
```

Properties
- Mass density: 4.29 g/cm3
- DFT total energy: -4.1282 eV/atom


Entry 5:
Entry from the Alexandria database: crystalline LaPrAl2 at its relaxed geometry (PBE).

Structure (CIF):
```
data_LaPrAl2
_space_group_name_H-M_alt 'R -3 m'
_space_group_IT_number 166
_space_group_name_Hall '-R 3 2"'
_cell_length_a 3.8069
_cell_length_b 3.8069
_cell_length_c 28.3491
_cell_angle_alpha 90.00
_cell_angle_beta 90.00
_cell_angle_gamma 120.00
loop_
_atom_site_label
_atom_site_type_symbol
_atom_site_fract_x
_atom_site_fract_y
_atom_site_fract_z
La1 La 0.0000 0.0000 0.0000
Pr1 Pr 0.0000 0.0000 0.5000
Al1 Al 0.0000 0.0000 0.2492
```

Properties
- Mass density: 4.67 g/cm3
- Energy relative to the elements: -0.0750 eV/atom
- E above lowest polymorph: 294.0 meV per atom


Entry 6:
Entry from the Alexandria database: crystalline ThZn2Cu9 at its relaxed geometry (PBE).

Structure (CIF):
```
data_ThZn2Cu9
_space_group_name_H-M_alt 'P 4/m b m'
_space_group_IT_number 127
_space_group_name_Hall '-P 4 2ab'
_cell_length_a 8.276
_cell_length_b 8.276
_cell_length_c 4.965
_cell_angle_alpha 90.00
_cell_angle_beta 90.00
_cell_angle_gamma 90.00
loop_
_atom_site_label
_atom_site_type_symbol
_atom_site_fract_x
_atom_site_fract_y
_atom_site_fract_z
Th1 Th 0.000 0.000 0.000
Zn1 Zn 0.115 0.385 0.000
Cu1 Cu 0.000 0.500 0.500
Cu2 Cu 0.064 0.209 0.500
Cu3 Cu 0.179 0.679 0.240
```

Properties
- Mass density: 9.13 g/cm3
- Energy relative to the elements: -0.1207 eV/atom


Entry 7:
Entry from the Alexandria database: crystalline Y13Er2 at its relaxed geometry (PBE).

Structure (CIF):
```
data_Y13Er2
_space_group_name_H-M_alt 'R -3 m'
_space_group_IT_number 166
_space_group_name_Hall '-R 3 2"'
_cell_length_a 7.0615
_cell_length_b 7.0615
_cell_length_c 34.4732
_cell_angle_alpha 90.00
_cell_angle_beta 90.00
_cell_angle_gamma 120.00
loop_
_atom_site_label
_atom_site_type_symbol
_atom_site_fract_x
_atom_site_fract_y
_atom_site_fract_z
Y1 Y 0.0000 0.0000 0.0000
Y2 Y 0.9999 0.5000 0.2082
Y3 Y 0.0033 0.5017 0.9547
Er1 Er 0.0000 0.0000 0.2064
```

Properties
- Mass density: 4.99 g/cm3
- Energy relative to the elements: 0.1608 eV/atom
- E above lowest polymorph: 97.8 meV per atom


Entry 8:
Entry from the Alexandria database: crystalline YAgPb3 at its relaxed geometry (PBE).

Structure (CIF):
```
data_YAgPb3
_space_group_name_H-M_alt 'P m -3 m'
_space_group_IT_number 221
_space_group_name_Hall '-P 4 2 3'
_cell_length_a 5.477
_cell_length_b 5.477
_cell_length_c 5.477
_cell_angle_alpha 90.00
_cell_angle_beta 90.00
_cell_angle_gamma 90.00
loop_
_atom_site_label
_atom_site_type_symbol
_atom_site_fract_x
_atom_site_fract_y
_atom_site_fract_z
Y1 Y 0.000 0.000 0.000
Ag1 Ag 0.500 0.500 0.500
Pb1 Pb 0.000 0.500 0.500
```

Properties
- Mass density: 8.27 g/cm3
- Energy relative to the elements: 0.2805 eV/atom
- E above lowest polymorph: 416.8 meV per atom


Entry 9:
Entry from the Alexandria database: crystalline YTc2Br at its relaxed geometry (PBE).

Structure (CIF):
```
data_YTc2Br
_space_group_name_H-M_alt 'C 1 2/m 1'
_space_group_IT_number 12
_cell_length_a 5.433
_cell_length_b 10.774
_cell_length_c 3.298
_cell_angle_alpha 90.00
_cell_angle_beta 127.11
_cell_angle_gamma 90.00
loop_
_space_group_symop_operation_xyz
'x,y,z'
'-x,-y,-z'
'-x,y,-z'
'x,-y,z'
'x+1/2,y+1/2,z'
'-x+1/2,-y+1/2,-z'
'-x+1/2,y+1/2,-z'
'x+1/2,-y+1/2,z'
loop_
_atom_site_label
_atom_site_type_symbol
_atom_site_fract_x
_atom_site_fract_y
_atom_site_fract_z
Y1 Y 0.000 0.000 0.000
Tc1 Tc 0.250 0.250 0.000
Br1 Br 0.000 0.500 0.000
```

Properties
- Mass density: 7.87 g/cm3
- E above lowest polymorph: 503.2 meV per atom


Entry 10:
Entry from the Alexandria database: crystalline InGaHg2N at its relaxed geometry (PBE).

Structure (CIF):
```
data_InGaHg2N
_space_group_name_H-M_alt 'P 4/m m m'
_space_group_IT_number 123
_space_group_name_Hall '-P 4 2'
_cell_length_a 5.685
_cell_length_b 5.685
_cell_length_c 5.489
_cell_angle_alpha 90.00
_cell_angle_beta 90.00
_cell_angle_gamma 90.00
loop_
_atom_site_label
_atom_site_type_symbol
_atom_site_fract_x
_atom_site_fract_y
_atom_site_fract_z
In1 In 0.000 0.000 0.000
Ga1 Ga 0.000 0.000 0.500
Hg1 Hg 0.000 0.500 0.000
N1 N 0.500 0.500 0.500
```

Properties
- Mass density: 5.61 g/cm3
- DFT total energy: -1.7111 eV/atom


Entry 11:
Entry from the Alexandria database: crystalline Nb2GaTc at its relaxed geometry (PBE).

Structure (CIF):
```
data_Nb2GaTc
_space_group_name_H-M_alt 'I -4 2 d'
_space_group_IT_number 122
_space_group_name_Hall 'I -4 2bw'
_cell_length_a 7.327
_cell_length_b 7.327
_cell_length_c 5.418
_cell_angle_alpha 90.00
_cell_angle_beta 90.00
_cell_angle_gamma 90.00
loop_
_atom_site_label
_atom_site_type_symbol
_atom_site_fract_x
_atom_site_fract_y
_atom_site_fract_z
Nb1 Nb 0.218 0.750 0.125
Ga1 Ga 0.000 0.000 0.500
Tc1 Tc 0.000 0.000 0.000
```

Properties
- Mass density: 8.07 g/cm3
- Energy relative to the elements: 0.3426 eV/atom


Entry 12:
Entry from the Alexandria database: crystalline Ca4Y3AgTe8 at its relaxed geometry (PBE).

Structure (CIF):
```
data_Ca4Y3AgTe8
_space_group_name_H-M_alt 'R -3 m'
_space_group_IT_number 166
_space_group_name_Hall '-R 3 2"'
_cell_length_a 8.8588
_cell_length_b 8.8588
_cell_length_c 21.7804
_cell_angle_alpha 90.00
_cell_angle_beta 90.00
_cell_angle_gamma 120.00
loop_
_atom_site_label
_atom_site_type_symbol
_atom_site_fract_x
_atom_site_fract_y
_atom_site_fract_z
Ca1 Ca 0.0000 0.0000 0.0000
Ca2 Ca 0.0000 0.5000 0.0000
Y1 Y 0.0000 0.5000 0.5000
Ag1 Ag 0.0000 0.0000 0.5000
Te1 Te 0.0000 0.0000 0.2484
Te2 Te 0.0014 0.5007 0.2472
```

Properties
- Mass density: 5.24 g/cm3
- DFT total energy: -4.8189 eV/atom


Entry 13:
Entry from the Alexandria database: crystalline Si2AgHg at its relaxed geometry (PBE).

Structure (CIF):
```
data_Si2AgHg
_space_group_name_H-M_alt 'I m m 2'
_space_group_IT_number 44
_cell_length_a 2.860
_cell_length_b 4.860
_cell_length_c 11.021
_cell_angle_alpha 90.00
_cell_angle_beta 90.00
_cell_angle_gamma 90.00
loop_
_space_group_symop_operation_xyz
'x,y,z'
'-x,-y,z'
'-x,y,z'
'x,-y,z'
'x+1/2,y+1/2,z+1/2'
'-x+1/2,-y+1/2,z+1/2'
'-x+1/2,y+1/2,z+1/2'
'x+1/2,-y+1/2,z+1/2'
loop_
_atom_site_label
_atom_site_type_symbol
_atom_site_fract_x
_atom_site_fract_y
_atom_site_fract_z
Si1 Si 0.000 0.000 0.000
Si2 Si 0.000 0.500 0.305
Ag1 Ag 0.000 0.500 0.735
Hg1 Hg 0.000 0.000 0.522
```

Properties
- Mass density: 7.90 g/cm3
- DFT total energy: -3.0469 eV/atom


Entry 14:
Entry from the Alexandria database: crystalline Sc4Pb2N at its relaxed geometry (PBE).

Structure (CIF):
```
data_Sc4Pb2N
_space_group_name_H-M_alt 'P 1 21/m 1'
_space_group_IT_number 11
_cell_length_a 6.031
_cell_length_b 6.354
_cell_length_c 8.648
_cell_angle_alpha 90.00
_cell_angle_beta 108.32
_cell_angle_gamma 90.00
loop_
_space_group_symop_operation_xyz
'x,y,z'
'-x,-y,-z'
'-x,y+1/2,-z'
'x,-y+1/2,z'
loop_
_atom_site_label
_atom_site_type_symbol
_atom_site_fract_x
_atom_site_fract_y
_atom_site_fract_z
Sc1 Sc 0.195 0.250 0.030
Sc2 Sc 0.241 0.750 0.338
Sc3 Sc 0.266 0.003 0.708
Pb1 Pb 0.259 0.250 0.397
Pb2 Pb 0.318 0.750 0.020
N1 N 0.108 0.250 0.781
```

Properties
- Mass density: 6.42 g/cm3
- E above lowest polymorph: 117.4 meV per atom


Entry 15:
Entry from the Alexandria database: crystalline LiZr2Al2 at its relaxed geometry (PBE).

Structure (CIF):
```
data_LiZr2Al2
_space_group_name_H-M_alt 'P 4/m b m'
_space_group_IT_number 127
_space_group_name_Hall '-P 4 2ab'
_cell_length_a 7.653
_cell_length_b 7.653
_cell_length_c 3.439
_cell_angle_alpha 90.00
_cell_angle_beta 90.00
_cell_angle_gamma 90.00
loop_
_atom_site_label
_atom_site_type_symbol
_atom_site_fract_x
_atom_site_fract_y
_atom_site_fract_z
Li1 Li 0.000 0.000 0.000
Zr1 Zr 0.178 0.322 0.500
Al1 Al 0.120 0.620 0.000
```

Properties
- Mass density: 4.01 g/cm3
- Energy relative to the elements: -0.1922 eV/atom
- E above lowest polymorph: 0.0 meV per atom


Entry 16:
Entry from the Alexandria database: crystalline Cd4CuAu5 at its relaxed geometry (PBE).

Structure (CIF):
```
data_Cd4CuAu5
_space_group_name_H-M_alt 'P 4/m m m'
_space_group_IT_number 123
_space_group_name_Hall '-P 4 2'
_cell_length_a 3.356
_cell_length_b 3.356
_cell_length_c 16.606
_cell_angle_alpha 90.00
_cell_angle_beta 90.00
_cell_angle_gamma 90.00
loop_
_atom_site_label
_atom_site_type_symbol
_atom_site_fract_x
_atom_site_fract_y
_atom_site_fract_z
Cd1 Cd 0.000 0.000 0.104
Cd2 Cd 0.000 0.000 0.313
Cu1 Cu 0.000 0.000 0.500
Au1 Au 0.500 0.500 0.000
Au2 Au 0.500 0.500 0.208
Au3 Au 0.500 0.500 0.415
```

Properties
- Mass density: 13.30 g/cm3
- Energy relative to the elements: -0.1395 eV/atom


Entry 17:
Entry from the Alexandria database: crystalline Tm4InGa at its relaxed geometry (PBE).

Structure (CIF):
```
data_Tm4InGa
_space_group_name_H-M_alt 'C m c 21'
_space_group_IT_number 36
_cell_length_a 5.156
_cell_length_b 21.944
_cell_length_c 6.332
_cell_angle_alpha 90.00
_cell_angle_beta 90.00
_cell_angle_gamma 90.00
loop_
_space_group_symop_operation_xyz
'x,y,z'
'-x,-y,z+1/2'
'-x,y,z'
'x,-y,z+1/2'
'x+1/2,y+1/2,z'
'-x+1/2,-y+1/2,z+1/2'
'-x+1/2,y+1/2,z'
'x+1/2,-y+1/2,z+1/2'
loop_
_atom_site_label
_atom_site_type_symbol
_atom_site_fract_x
_atom_site_fract_y
_atom_site_fract_z
Tm1 Tm 0.000 0.069 0.000
Tm2 Tm 0.000 0.195 0.277
Tm3 Tm 0.000 0.213 0.792
Tm4 Tm 0.000 0.364 0.051
In1 In 0.000 0.068 0.505
Ga1 Ga 0.000 0.333 0.535
```

Properties
- Mass density: 7.98 g/cm3
- Energy relative to the elements: -0.1120 eV/atom


Entry 18:
Entry from the Alexandria database: crystalline K2BICl at its relaxed geometry (PBE).

Structure (CIF):
```
data_K2BICl
_space_group_name_H-M_alt 'P 4/m m m'
_space_group_IT_number 123
_space_group_name_Hall '-P 4 2'
_cell_length_a 6.069
_cell_length_b 6.069
_cell_length_c 4.733
_cell_angle_alpha 90.00
_cell_angle_beta 90.00
_cell_angle_gamma 90.00
loop_
_atom_site_label
_atom_site_type_symbol
_atom_site_fract_x
_atom_site_fract_y
_atom_site_fract_z
K1 K 0.000 0.500 0.000
B1 B 0.000 0.000 0.000
I1 I 0.000 0.000 0.500
Cl1 Cl 0.500 0.500 0.500
```

Properties
- Mass density: 2.39 g/cm3
- DFT total energy: -2.6465 eV/atom


Entry 19:
Entry from the Alexandria database: crystalline RbSiF4 at its relaxed geometry (PBE).

Structure (CIF):
```
data_RbSiF4
_space_group_name_H-M_alt 'C m c m'
_space_group_IT_number 63
_space_group_name_Hall '-C 2c 2'
_cell_length_a 4.005
_cell_length_b 14.745
_cell_length_c 6.482
_cell_angle_alpha 90.00
_cell_angle_beta 90.00
_cell_angle_gamma 90.00
loop_
_atom_site_label
_atom_site_type_symbol
_atom_site_fract_x
_atom_site_fract_y
_atom_site_fract_z
Rb1 Rb 0.000 0.131 0.250
Si1 Si 0.000 0.406 0.250
F1 F 0.000 0.092 0.750
F2 F 0.000 0.326 0.062
F3 F 0.000 0.500 0.000
```

Properties
- Mass density: 3.29 g/cm3
- DFT total energy: -4.9342 eV/atom


Entry 20:
Entry from the Alexandria database: crystalline TbGdScAl at its relaxed geometry (PBE).

Structure (CIF):
```
data_TbGdScAl
_space_group_name_H-M_alt 'F -4 3 m'
_space_group_IT_number 216
_space_group_name_Hall 'F -4 2 3'
_cell_length_a 7.429
_cell_length_b 7.429
_cell_length_c 7.429
_cell_angle_alpha 90.00
_cell_angle_beta 90.00
_cell_angle_gamma 90.00
loop_
_atom_site_label
_atom_site_type_symbol
_atom_site_fract_x
_atom_site_fract_y
_atom_site_fract_z
Tb1 Tb 0.000 0.000 0.000
Gd1 Gd 0.000 0.000 0.500
Sc1 Sc 0.250 0.250 0.750
Al1 Al 0.250 0.250 0.250
```

Properties
- Mass density: 6.29 g/cm3
- Energy relative to the elements: -0.1148 eV/atom